Run w
Here is a relaxed Zr3AgBr crystal from Alexandria via LeMat-Bulk. Energies are from GGA-PBE.

Cell: 5.2391 5.2391 5.2391 Å, 90.00 90.00 90.00°
With the nearest neighbours (Å) after each atom.
Atoms (fractional coordinates):
Zr  0.0000  0.0000  0.5000  2 Ag 2.62
Zr  0.0000  0.5000  0.0000  2 Ag 2.62
Zr  0.5000  0.0000  0.0000  2 Ag 2.62
Ag  0.0000  0.0000  0.0000  6 Zr 2.62
Br  0.5000  0.5000  0.5000  12 Zr 3.70

magnetic moment: 0.407 μB per atom
V: 28.8 Å³ per atom



Run x
Here is a relaxed Zr3AgBr crystal from Alexandria via LeMat-Bulk. Energies are from GGA-PBE.

Cell: 4.9707 4.9707 4.9707 Å, 90.00 90.00 90.00°
With the nearest neighbours (Å) after each atom.
Atoms (fractional coordinates):
Zr  0.0000  0.0000  0.5000  2 Br 2.49
Zr  0.0000  0.5000  0.0000  2 Br 2.49
Zr  0.5000  0.0000  0.0000  2 Br 2.49
Ag  0.5000  0.5000  0.5000  12 Zr 3.51
Br  0.0000  0.0000  0.0000  6 Zr 2.49

magnetic moment: 0.000 μB per atom
V: 24.6 Å³ per atom



Ordering by calculated energy gives the sequence run x, run w, with the first entry being the most stable.